Compound: NiAs
Source: the Alexandria database
Functional: PBE
Structure: relaxed

Output
formation energy from the elements: -0.098 eV/atom

Cell lengths 3.6093, 3.6093, 2.7067 Å; angles 90.00, 90.00, 120.00 degrees
With the nearest neighbours (Å) after each atom.
Fractional coordinates of all 2 atoms:
Ni 0.6667 0.3333 0.5000  6 As 2.48, 2 Ni 2.71
As 0.0000 0.0000 0.0000  6 Ni 2.48, 2 As 2.71